# 1
This record from OQMD describes a relaxed structure of CuSiBi2. The functional is PBE.

Computed properties:
Its volume is 23.90 Å³/atom. The space group is No. 216.

a = 5.132 Å, b = 5.132 Å, c = 5.132 Å
α = 60.00°, β = 60.00°, γ = 60.00°
Fractional positions:
Bi 0.000 0.000 0.000
Bi 0.750 0.750 0.750
Cu 0.250 0.250 0.250
Si 0.500 0.500 0.500

=====

# 2
This record from OQMD describes a relaxed structure of ErSiPt. The functional is PBE.

Computed properties:
The value obtained for the total magnetic moment is 0.012 μB/cell. Its volume is 18.52 Å³/atom. The space group is No. 189.

a = 7.056 Å, b = 7.056 Å, c = 3.866 Å
α = 90.00°, β = 90.00°, γ = 120.00°
Fractional positions:
Er 0.590 0.000 0.500
Er 0.410 0.410 0.500
Er 0.000 0.590 0.500
Pt 0.667 0.333 0.000
Pt 0.333 0.667 0.000
Pt 0.000 0.000 0.500
Si 0.249 0.000 0.000
Si 0.000 0.249 0.000
Si 0.751 0.751 0.000

=====

no.,E (eV per atom)
1,-3.70
2,-6.44